1.
A plane-wave DFT calculation with GGA-PBE was carried out for a relaxed MoW3C3 crystal.

Properties
V = 79.3 Å³ per cell
E_tot = -0.403 Ha/atom

a b c (Å): 5.250 5.250 5.305
angles (deg): 98.90 98.90 33.33
Sites, in units of the cell vectors:
C  0.740  0.740  0.242
W  0.118  0.118  0.383
C  0.000  0.000  0.001
W  0.383  0.383  0.156
W  0.616  0.616  0.842
C  0.259  0.259  0.759
Mo  0.883  0.883  0.618

=====

2.
A plane-wave DFT calculation with GGA-PBE was carried out for a relaxed TmF crystal.

Properties
V = 31.1 Å³ per cell
E_tot = -0.186 Ha/atom

a b c (Å): 3.531 3.531 3.531
angles (deg): 60.00 60.00 60.00
Last column: magnetic moment on the atom in μB.
Sites, in units of the cell vectors:
F  0.000  0.000  0.000  0.04
Tm  0.500  0.500  0.500  0.21

=====

3.
A plane-wave DFT calculation with GGA-PBE was carried out for a relaxed FeSiMoPt crystal.

Properties
V = 56.3 Å³ per cell
E_tot = -0.279 Ha/atom

a b c (Å): 4.302 4.302 4.302
angles (deg): 60.00 60.00 60.00
Sites, in units of the cell vectors:
Si  0.000  0.000  0.000
Pt  0.250  0.250  0.250
Mo  0.500  0.500  0.500
Fe  0.750  0.750  0.750

=====

4.
A plane-wave DFT calculation with GGA-PBE was carried out for a relaxed HoSnAuSe3 crystal.

Properties
V = 643.0 Å³ per cell
E_tot = -0.169 Ha/atom

a b c (Å): 12.148 4.197 12.613
angles (deg): 90.00 90.00 90.00
Sites, in units of the cell vectors:
Se  0.513  0.500  0.678
Se  0.901  0.500  0.553
Sn  0.184  0.000  0.065
Au  0.799  0.000  0.103
Se  0.099  0.000  0.447
Se  0.987  0.000  0.178
Sn  0.684  0.000  0.435
Se  0.013  0.500  0.822
Se  0.751  0.500  0.296
Ho  0.984  0.500  0.334
Au  0.201  0.500  0.897
Sn  0.316  0.500  0.565
Sn  0.816  0.500  0.935
Au  0.701  0.500  0.603
Se  0.749  0.000  0.796
Se  0.599  0.000  0.053
Ho  0.516  0.000  0.834
Se  0.249  0.000  0.704
Se  0.487  0.000  0.322
Se  0.401  0.500  0.947
Ho  0.484  0.500  0.166
Se  0.251  0.500  0.204
Ho  0.016  0.000  0.666
Au  0.299  0.000  0.397

=====

5.
A plane-wave DFT calculation with GGA-PBE was carried out for a relaxed Rb2ZnP2Se6 crystal.

Properties
V = 671.1 Å³ per cell
E_tot = -0.140 Ha/atom

a b c (Å): 7.649 7.762 12.872
angles (deg): 96.58 105.56 110.45
Sites, in units of the cell vectors:
Zn  0.977  0.051  0.750
Se  0.757  0.629  0.868
Se  0.283  0.079  0.899
P  0.883  0.847  0.470
Rb  0.405  0.707  0.602
Se  0.013  0.711  0.366
P  0.833  0.914  0.960
Se  0.408  0.173  0.620
Se  0.243  0.371  0.132
Se  0.101  0.258  0.374
P  0.167  0.086  0.040
Zn  0.023  0.949  0.250
Se  0.257  0.912  0.154
Rb  0.758  0.409  0.090
Se  0.899  0.742  0.626
Se  0.987  0.289  0.634
Rb  0.242  0.591  0.910
P  0.117  0.153  0.530
Rb  0.595  0.293  0.398
Se  0.592  0.827  0.380
Se  0.743  0.088  0.846
Se  0.717  0.921  0.101

=====

6.
A plane-wave DFT calculation with GGA-PBE was carried out for a relaxed DyHoSi2Pd crystal.

Properties
V = 198.3 Å³ per cell
E_tot = -0.219 Ha/atom

a b c (Å): 5.644 5.644 10.104
angles (deg): 115.79 115.79 44.27
Last column: magnetic moment on the atom in μB.
Sites, in units of the cell vectors:
Si  0.367  0.367  0.935  0.00
Si  0.633  0.633  0.065  0.00
Si  0.481  0.481  0.614  -0.01
Dy  0.998  0.998  0.176  0.08
Pd  0.725  0.725  0.859  0.02
Si  0.519  0.519  0.386  -0.01
Ho  0.186  0.186  0.606  0.18
Dy  0.002  0.002  0.824  0.08
Pd  0.275  0.275  0.141  0.02
Ho  0.814  0.814  0.394  0.18

=====

7.
A plane-wave DFT calculation with GGA-PBE was carried out for a relaxed NaNdCdTe3 crystal.

Properties
V = 789.2 Å³ per cell
E_tot = -0.136 Ha/atom

a b c (Å): 11.932 4.475 14.781
angles (deg): 90.00 90.00 90.00
Sites, in units of the cell vectors:
Nd  0.497  0.750  0.251
Nd  0.997  0.750  0.249
Te  0.067  0.750  0.895
Cd  0.247  0.250  0.276
Te  0.933  0.250  0.105
Cd  0.753  0.750  0.724
Te  0.747  0.750  0.345
Te  0.061  0.250  0.394
Te  0.247  0.750  0.155
Na  0.255  0.250  0.979
Nd  0.503  0.250  0.749
Na  0.245  0.750  0.479
Te  0.433  0.250  0.395
Te  0.561  0.250  0.106
Te  0.253  0.250  0.655
Nd  0.003  0.250  0.751
Na  0.755  0.250  0.521
Te  0.567  0.750  0.605
Cd  0.747  0.250  0.224
Cd  0.253  0.750  0.776
Te  0.753  0.250  0.845
Na  0.745  0.750  0.021
Te  0.439  0.750  0.894
Te  0.939  0.750  0.606

=====

8.
A plane-wave DFT calculation with GGA-PBE was carried out for a relaxed GdMgZn crystal.

Properties
V = 205.7 Å³ per cell
E_tot = -0.097 Ha/atom

a b c (Å): 5.080 5.080 9.205
angles (deg): 90.00 90.00 120.00
Sites, in units of the cell vectors:
Gd  0.000  0.000  0.457
Zn  0.667  0.333  0.289
Zn  0.000  0.000  0.796
Zn  0.333  0.667  0.518
Gd  0.333  0.667  0.205
Mg  0.333  0.667  0.812
Mg  0.000  0.000  0.098
Gd  0.667  0.333  0.958
Mg  0.667  0.333  0.611

=====

9.
A plane-wave DFT calculation with GGA-PBE was carried out for a relaxed LaLuGa2 crystal.

Properties
V = 101.4 Å³ per cell
E_tot = -0.164 Ha/atom

a b c (Å): 4.129 5.992 5.992
angles (deg): 43.14 90.00 90.00
Sites, in units of the cell vectors:
Ga  0.500  0.932  0.932
Lu  0.500  0.634  0.634
La  0.000  0.357  0.357
Ga  0.000  0.077  0.077

=====

10.
A plane-wave DFT calculation with GGA-PBE was carried out for a relaxed Nd2BeSi2Au crystal.

Properties
V = 127.5 Å³ per cell
E_tot = -0.191 Ha/atom

a b c (Å): 4.137 4.137 8.604
angles (deg): 90.00 90.00 120.00
Sites, in units of the cell vectors:
Be  0.333  0.667  0.500
Nd  0.667  0.333  0.742
Si  0.333  0.667  0.000
Si  0.000  0.000  0.500
Au  0.000  0.000  0.000
Nd  0.667  0.333  0.258

=====

11.
A plane-wave DFT calculation with GGA-PBE was carried out for a relaxed ZnP2Au2 crystal.

Properties
V = 200.2 Å³ per cell
E_tot = -0.126 Ha/atom

a b c (Å): 3.788 3.788 16.110
angles (deg): 90.00 90.00 120.00
Sites, in units of the cell vectors:
P  0.333  0.667  0.403
Au  0.667  0.333  0.163
Zn  0.000  0.000  0.500
P  0.333  0.667  0.097
P  0.667  0.333  0.903
Au  0.333  0.667  0.663
Zn  0.000  0.000  0.000
Au  0.333  0.667  0.837
Au  0.667  0.333  0.337
P  0.667  0.333  0.597

=====

12.
A plane-wave DFT calculation with GGA-PBE was carried out for a relaxed AsPW4N2 crystal.

Properties
V = 101.3 Å³ per cell
E_tot = -0.353 Ha/atom

a b c (Å): 2.977 2.977 13.198
angles (deg): 90.00 90.00 120.00
Sites, in units of the cell vectors:
W  0.000  0.000  0.863
W  0.000  0.000  0.137
P  0.333  0.667  0.000
As  0.000  0.000  0.500
N  0.667  0.333  0.244
W  0.333  0.667  0.652
N  0.667  0.333  0.756
W  0.333  0.667  0.348

=====

13.
A plane-wave DFT calculation with GGA-PBE was carried out for a relaxed GdAgSnS3 crystal.

Properties
V = 572.9 Å³ per cell
E_tot = -0.183 Ha/atom

a b c (Å): 8.515 4.043 16.639
angles (deg): 90.00 90.00 90.00
Sites, in units of the cell vectors:
S  0.635  0.250  0.277
Ag  0.403  0.750  0.890
Ag  0.097  0.250  0.390
S  0.365  0.250  0.449
S  0.135  0.250  0.223
Sn  0.659  0.250  0.741
Gd  0.314  0.750  0.559
S  0.865  0.750  0.777
Gd  0.186  0.250  0.059
S  0.865  0.250  0.051
S  0.906  0.750  0.396
Sn  0.159  0.250  0.759
S  0.594  0.250  0.896
S  0.135  0.750  0.949
S  0.365  0.750  0.723
S  0.094  0.250  0.604
S  0.406  0.750  0.104
Ag  0.597  0.250  0.110
S  0.635  0.750  0.551
Ag  0.903  0.750  0.610
Sn  0.841  0.750  0.241
Gd  0.686  0.250  0.441
Sn  0.341  0.750  0.259
Gd  0.814  0.750  0.941

=====

14.
A plane-wave DFT calculation with GGA-PBE was carried out for a relaxed Pr2SmCu4Ge4 crystal.

Properties
V = 210.3 Å³ per cell
E_tot = -0.181 Ha/atom

a b c (Å): 8.221 8.221 8.221
angles (deg): 149.30 131.66 58.36
Sites, in units of the cell vectors:
Cu  0.019  0.333  0.686
Ge  0.692  0.500  0.192
Ge  0.308  0.500  0.808
Pr  0.368  0.868  0.500
Pr  0.632  0.132  0.500
Ge  0.216  0.216  0.000
Sm  0.000  0.000  0.000
Cu  0.981  0.667  0.314
Cu  0.647  0.333  0.314
Ge  0.784  0.784  0.000
Cu  0.353  0.667  0.686

=====

15.
A plane-wave DFT calculation with GGA-PBE was carried out for a relaxed TbGaO3 crystal.

Properties
V = 75.7 Å³ per cell
E_tot = -0.233 Ha/atom

a b c (Å): 3.744 3.744 5.403
angles (deg): 90.00 90.00 90.00
Sites, in units of the cell vectors:
O  0.000  0.500  0.713
O  0.500  0.000  0.713
O  0.500  0.500  0.113
Tb  0.500  0.500  0.500
Ga  0.000  0.000  0.862

=====

16.
A plane-wave DFT calculation with GGA-PBE was carried out for a relaxed TmAsPd crystal.

Properties
V = 241.5 Å³ per cell
E_tot = -0.211 Ha/atom

a b c (Å): 6.237 3.896 9.938
angles (deg): 90.00 90.00 90.00
Sites, in units of the cell vectors:
Pd  0.375  0.250  0.055
Pd  0.625  0.750  0.945
Tm  0.672  0.750  0.637
Pd  0.875  0.250  0.445
As  0.830  0.250  0.840
Tm  0.828  0.250  0.137
As  0.670  0.750  0.340
Tm  0.328  0.250  0.363
Tm  0.172  0.750  0.863
Pd  0.125  0.750  0.555
As  0.330  0.250  0.660
As  0.170  0.750  0.160

=====

17.
A plane-wave DFT calculation with GGA-PBE was carried out for a relaxed YThRe crystal.

Properties
V = 153.1 Å³ per cell
energy of formation from the pure elements = 0.39 eV/f.u.

a b c (Å): 4.531 4.531 7.454
angles (deg): 90.00 90.00 90.00
Sites, in units of the cell vectors:
Y  0.500  0.500  0.000
Th  0.500  0.000  0.378
Re  0.000  0.500  0.266
Re  0.500  0.000  0.734
Y  0.000  0.000  0.000
Th  0.000  0.500  0.622

=====

18.
A plane-wave DFT calculation with GGA-PBE was carried out for a relaxed SnHg3Te2F6 crystal.

Properties
V = 242.0 Å³ per cell
E_tot = -0.123 Ha/atom

a b c (Å): 7.803 7.803 4.605
angles (deg): 90.95 90.95 59.69
Sites, in units of the cell vectors:
Hg  0.500  0.000  0.500
F  0.878  0.878  0.749
F  0.123  0.753  0.234
Hg  0.500  0.500  0.500
F  0.877  0.247  0.766
Te  0.668  0.668  0.817
F  0.753  0.123  0.234
Hg  0.000  0.500  0.500
Sn  0.000  0.000  0.000
F  0.247  0.877  0.766
Te  0.332  0.332  0.183
F  0.122  0.122  0.251

=====

19.
A plane-wave DFT calculation with GGA-PBE was carried out for a relaxed InCoCu2 crystal.

Properties
V = 54.2 Å³ per cell
E_tot = -0.153 Ha/atom

a b c (Å): 4.248 4.248 4.248
angles (deg): 60.00 60.00 60.00
Last column: magnetic moment on the atom in μB.
Sites, in units of the cell vectors:
Cu  0.000  0.000  0.000  0.00
Co  0.250  0.250  0.250  0.46
In  0.500  0.500  0.500  -0.01
Cu  0.750  0.750  0.750  0.01

=====

20.
A plane-wave DFT calculation with GGA-PBE was carried out for a relaxed Sc2InPd crystal.

Properties
V = 77.8 Å³ per cell
E_tot = -0.206 Ha/atom

a b c (Å): 4.792 4.792 4.792
angles (deg): 60.00 60.00 60.00
Last column: magnetic moment on the atom in μB.
Sites, in units of the cell vectors:
Pd  0.250  0.250  0.250  0.03
Sc  0.750  0.750  0.750  0.45
Sc  0.000  0.000  0.000  0.29
In  0.500  0.500  0.500  0.00